Below is a geometry-optimized TaAgNF2 structure, with properties calculated at the PBE level.

Lattice parameters (Å, degrees): 4.163 4.163 4.043 90.00 90.00 90.00
Atoms (fractional coordinates):
F1 0.000 0.500 0.000
Ag1 0.500 0.500 0.500
Ta1 0.000 0.000 0.000
F2 0.500 0.000 0.000
N1 0.000 0.000 0.500

Values from the calculation:
DFT total energy in eV/atom: -6.520
Raw formation energy in kJ/mol of atoms: -112.5
Excess energy over the best structure of this formula in the dataset in meV per atom: 0
V in Å³/cell: 70.1

Below is a geometry-optimized CdAuS3 structure, with properties calculated at the PBE level.

Lattice parameters (Å, degrees): 4.849 4.849 4.849 90.00 90.00 90.00
Atoms (fractional coordinates):
Au1 0.000 0.000 0.000
S1 0.000 0.000 0.500
S2 0.500 0.000 0.000
Cd1 0.500 0.500 0.500
S3 0.000 0.500 0.000

Values from the calculation:
DFT total energy in eV/atom: -2.734
Raw formation energy in kJ/mol of atoms: 56.1
Excess energy over the best structure of this formula in the dataset in meV per atom: 0
V in Å³/cell: 114.0